Record 1
Density functional theory data (PBE) for BaReRh2 after structural relaxation.

Offset from the most stable computed form: 334 meV per atom
Calculated volume: 82 Å³/cell
Space-group type: Pmm2 (25)

POSCAR file:
```
BaReRh2
1.0
-0.9576 2.6232 0.7574
-2.8493 -1.6465 2.0999
4.3618 -0.0950 5.8441
Rh Re Ba
2 1 1
Direct
0.5000 0.5000 0.1862
0.0000 0.0000 0.9806
0.5000 0.5000 0.8456
0.0000 0.0000 0.4876
```



Record 2
Density functional theory data (PBE) for CeW2C after structural relaxation.

E: -9.7713 eV/atom
Calculated volume: 65 Å³/cell
Space-group type: R-3m (166)

POSCAR file:
```
CeW2C
1.0
-1.7522 -2.4854 -0.0318
1.2258 -2.7170 -0.6029
1.2573 -2.8456 7.7104
W Ce C
2 1 1
Direct
0.8834 0.8834 0.3499
0.1166 0.1166 0.6501
0.0000 0.0000 0.0000
0.5000 0.5000 0.5000
```